VASP calculation (PBE) on a relaxed structure of MnCrAu2.

Unit cell a=6.4307 b=6.4307 c=6.4307 alpha=90.00 beta=90.00 gamma=90.00
With the nearest neighbours (Å) after each atom.
Space group F-43m (No. 216)
Symmetry-distinct sites (fractional):
1 Mn 0.0000 0.0000 0.0000  4 Cr 2.78, 4 Au 2.78
2 Cr 0.2500 0.2500 0.7500  4 Au 2.78, 4 Mn 2.78
3 Au 0.0000 0.0000 0.5000  4 Au 2.78, 4 Cr 2.78
4 Au 0.2500 0.2500 0.2500  4 Mn 2.78, 4 Au 2.78

Calculated values
The value obtained for the density of states at the Fermi level is 14.0 states/eV per cell. The total DFT energy (no corrections) is -6.0793 eV/atom.

VASP calculation (PBE) on a relaxed structure of Dy6Er2Cd.

Unit cell a=10.4474 b=10.4474 c=4.9499 alpha=90.00 beta=90.00 gamma=90.00
With the nearest neighbours (Å) after each atom.
Space group P4_2/mnm (No. 136)
Symmetry-distinct sites (fractional):
1 Dy 0.9995 0.3329 0.0000  1 Cd 3.48, 3 Er 3.49-3.50, 8 Dy 3.49-3.51
2 Dy 0.1635 0.1635 0.5000  4 Er 3.44-3.54, 2 Cd 3.46, 6 Dy 3.49-3.51
3 Er 0.1655 0.8345 0.5000  10 Dy 3.44-3.54, 2 Cd 3.48
4 Cd 0.0000 0.0000 0.0000  8 Dy 3.46-3.48, 4 Er 3.48

Calculated values
The energy above the most stable polymorph in this dataset is 0.0 meV/atom. The value obtained for the density of states at the Fermi level is 26.5 states/eV per cell. The total DFT energy (no corrections) is -4.1976 eV/atom.

VASP calculation (PBE) on a relaxed structure of Eu2MgTl.

Unit cell a=3.7945 b=3.7945 c=32.4274 alpha=90.00 beta=90.00 gamma=120.00
With the nearest neighbours (Å) after each atom.
Space group R-3m (No. 166, hexagonal axes)
Symmetry-distinct sites (fractional):
1 Eu 0.0000 0.0000 0.2474  3 Tl 3.41, 3 Mg 3.54, 6 Eu 3.79
2 Mg 0.0000 0.0000 0.0000  6 Eu 3.54, 6 Mg 3.79
3 Tl 0.0000 0.0000 0.5000  6 Eu 3.41, 6 Tl 3.79

Calculated values
The value obtained for the density of states at the Fermi level is 35.9 states/eV per cell. The total DFT energy (no corrections) is -6.2369 eV/atom.

VASP calculation (PBE) on a relaxed structure of HfCdCoIr.

Unit cell a=6.3741 b=6.3741 c=6.3741 alpha=90.00 beta=90.00 gamma=90.00
With the nearest neighbours (Å) after each atom.
Space group F-43m (No. 216)
Symmetry-distinct sites (fractional):
1 Hf 0.0000 0.0000 0.0000  4 Ir 2.76, 4 Co 2.76
2 Cd 0.0000 0.0000 0.5000  4 Co 2.76, 4 Ir 2.76
3 Co 0.2500 0.2500 0.2500  4 Cd 2.76, 4 Hf 2.76
4 Ir 0.2500 0.2500 0.7500  4 Cd 2.76, 4 Hf 2.76

Calculated values
The value obtained for the density of states at the Fermi level is 4.0 states/eV per cell. The total DFT energy (no corrections) is -7.0284 eV/atom.

VASP calculation (PBE) on a relaxed structure of Fe2SbSe.

Unit cell a=5.4816 b=5.4816 c=10.8884 alpha=90.00 beta=90.00 gamma=90.00
With the nearest neighbours (Å) after each atom.
Space group I-42d (No. 122)
Symmetry-distinct sites (fractional):
1 Fe 0.2136 0.2500 0.1250  2 Se 2.26, 2 Sb 2.49
2 Sb 0.0000 0.0000 0.5000  4 Fe 2.49
3 Se 0.0000 0.0000 0.0000  4 Fe 2.26

Calculated values
The energy above the most stable polymorph in this dataset is 412.0 meV/atom. For the formation energy (no corrections), the calculation gives 0.377 eV per atom. The value obtained for the density of states at the Fermi level is 15.1 states/eV per cell. The total DFT energy (no corrections) is -5.7565 eV/atom.

VASP calculation (PBE) on a relaxed structure of EuGdDyHo.

Unit cell a=8.1177 b=8.1177 c=8.1177 alpha=90.00 beta=90.00 gamma=90.00
With the nearest neighbours (Å) after each atom.
Space group F-43m (No. 216)
Symmetry-distinct sites (fractional):
1 Eu 0.0000 0.0000 0.0000  4 Dy 3.52, 4 Ho 3.52
2 Gd 0.0000 0.0000 0.5000  4 Dy 3.52, 4 Ho 3.52
3 Dy 0.2500 0.2500 0.7500  4 Gd 3.52, 4 Eu 3.52
4 Ho 0.2500 0.2500 0.2500  4 Gd 3.52, 4 Eu 3.52

Calculated values
The value obtained for the density of states at the Fermi level is 30.7 states/eV per cell. The total DFT energy (no corrections) is -8.2292 eV/atom.

VASP calculation (PBE) on a relaxed structure of TbPmTl3.

Unit cell a=7.4325 b=7.4325 c=6.5042 alpha=90.00 beta=90.00 gamma=120.00
With the nearest neighbours (Å) after each atom.
Space group P6_3/mmc (No. 194)
Symmetry-distinct sites (fractional):
1 Tb 0.0000 0.0000 0.0000  6 Tl 3.04, 2 Tb 3.25
2 Pm 0.3333 0.6667 0.2500  12 Tl 3.68-3.74
3 Tl 0.1998 0.3995 0.7500  2 Tl 2.98, 2 Tb 3.04

Calculated values
The value obtained for the density of states at the Fermi level is 7.4 states/eV per cell. The total DFT energy (no corrections) is -3.3994 eV/atom.

VASP calculation (PBE) on a relaxed structure of CsCdN2O.

Unit cell a=4.4019 b=4.4019 c=4.3849 alpha=90.00 beta=90.00 gamma=90.00
With the nearest neighbours (Å) after each atom.
Space group P4/mmm (No. 123)
Symmetry-distinct sites (fractional):
1 Cs 0.0000 0.0000 0.0000  2 O 2.19, 4 N 2.20
2 Cd 0.5000 0.5000 0.5000  8 N 3.11, 4 O 3.11
3 N 0.0000 0.5000 0.0000  2 Cs 2.20
4 O 0.0000 0.0000 0.5000  2 Cs 2.19

Calculated values
For the formation energy (no corrections), the calculation gives 2.115 eV per atom. The value obtained for the density of states at the Fermi level is 4.6 states/eV per cell. The total DFT energy (no corrections) is -2.5607 eV/atom.

VASP calculation (PBE) on a relaxed structure of KCd4Ag4.

Unit cell a=6.4077 b=6.4077 c=10.3066 alpha=90.00 beta=90.00 gamma=90.00
With the nearest neighbours (Å) after each atom.
Space group P4_2/nmc (No. 137, origin choice 2)
Symmetry-distinct sites (fractional):
1 K 0.2500 0.7500 0.2500  4 Cd 3.46, 8 Ag 3.59
2 Cd 0.0256 0.2500 0.0390  5 Ag 2.87-2.99, 1 Cd 2.88
3 Ag 0.0281 0.2500 0.3251  3 Ag 2.84-2.96, 5 Cd 2.87-2.99

Calculated values
The value obtained for the density of states at the Fermi level is 5.4 states/eV per cell. The total DFT energy (no corrections) is -1.8193 eV/atom.

VASP calculation (PBE) on a relaxed structure of K2TiAgF6.

Unit cell a=8.7988 b=8.7988 c=8.7988 alpha=90.00 beta=90.00 gamma=90.00
With the nearest neighbours (Å) after each atom.
Space group Fm-3m (No. 225)
Symmetry-distinct sites (fractional):
1 K 0.2500 0.2500 0.2500  12 F 3.12
2 Ti 0.0000 0.0000 0.0000  6 F 1.99
3 Ag 0.0000 0.0000 0.5000  6 F 2.41
4 F 0.0000 0.0000 0.2257  1 Ti 1.99

Calculated values
For the formation energy (no corrections), the calculation gives -2.667 eV per atom. The value obtained for the density of states at the Fermi level is 33.3 states/eV per cell. The total DFT energy (no corrections) is -5.0837 eV/atom.

VASP calculation (PBE) on a relaxed structure of ZnCu2Ge.

Unit cell a=3.1774 b=3.1774 c=5.5211 alpha=90.00 beta=90.00 gamma=90.00
With the nearest neighbours (Å) after each atom.
Space group P4/mmm (No. 123)
Symmetry-distinct sites (fractional):
1 Zn 0.0000 0.0000 0.0000  8 Cu 2.62, 2 Ge 2.76
2 Cu 0.5000 0.5000 0.2430  4 Zn 2.62, 4 Ge 2.66, 2 Cu 2.68-2.84
3 Ge 0.0000 0.0000 0.5000  8 Cu 2.66, 2 Zn 2.76

Calculated values
The value obtained for the density of states at the Fermi level is 0.9 states/eV per cell. The total DFT energy (no corrections) is -3.4692 eV/atom.

VASP calculation (PBE) on a relaxed structure of Pu2Bi3Pb3.

Unit cell a=5.8770 b=5.9042 c=7.0155 alpha=90.00 beta=90.00 gamma=90.00
With the nearest neighbours (Å) after each atom.
Space group Pmmm (No. 47)
Symmetry-distinct sites (fractional):
1 Pu 0.0000 0.0000 0.2488  6 Bi 3.42-3.43, 2 Pb 3.44, 2 Pu 3.49-3.52
2 Bi 0.0000 0.5000 0.0000  6 Pb 3.42-3.51, 4 Pu 3.43
3 Bi 0.5000 0.0000 0.0000  4 Pu 3.42, 4 Pb 3.43, 2 Bi 3.51
4 Bi 0.5000 0.0000 0.5000  4 Pu 3.43, 4 Pb 3.44, 2 Bi 3.51
5 Pb 0.0000 0.5000 0.5000  4 Pb 3.43, 4 Pu 3.44, 2 Bi 3.51
6 Pb 0.5000 0.5000 0.2486  6 Bi 3.42-3.44, 4 Pb 3.43-3.53

Calculated values
The value obtained for the density of states at the Fermi level is 22.4 states/eV per cell. The total DFT energy (no corrections) is -6.5574 eV/atom.

VASP calculation (PBE) on a relaxed structure of YMnCl2.

Unit cell a=3.4412 b=3.4412 c=8.3173 alpha=90.00 beta=90.00 gamma=90.00
With the nearest neighbours (Å) after each atom.
Space group P4mm (No. 99)
Symmetry-distinct sites (fractional):
1 Y 0.0000 0.0000 0.0000  5 Cl 2.94-3.13, 4 Mn 3.15
2 Mn 0.5000 0.5000 0.7599  4 Cl 2.68
3 Cl 0.0000 0.0000 0.6239  4 Mn 2.68
4 Cl 0.5000 0.5000 0.1979  4 Y 2.94

Calculated values
The energy above the most stable polymorph in this dataset is 0.0 meV/atom. For the formation energy (no corrections), the calculation gives -0.956 eV per atom. The value obtained for the density of states at the Fermi level is 0.5 states/eV per cell. The total DFT energy (no corrections) is -5.7881 eV/atom.

VASP calculation (PBE) on a relaxed structure of CaMgGa.

Unit cell a=6.9406 b=6.9406 c=6.9406 alpha=90.00 beta=90.00 gamma=90.00
With the nearest neighbours (Å) after each atom.
Space group F-43m (No. 216)
Symmetry-distinct sites (fractional):
1 Ca 0.0000 0.0000 0.0000  4 Ga 3.01
2 Mg 0.0000 0.0000 0.5000  4 Ga 3.01
3 Ga 0.2500 0.2500 0.7500  4 Mg 3.01, 4 Ca 3.01

Calculated values
The value obtained for the density of states at the Fermi level is 17.8 states/eV per cell. The total DFT energy (no corrections) is -2.3858 eV/atom.

VASP calculation (PBE) on a relaxed structure of BeReTe2Ir.

Unit cell a=5.2833 b=5.2833 c=4.8084 alpha=90.00 beta=90.00 gamma=90.00
With the nearest neighbours (Å) after each atom.
Space group P4/mmm (No. 123)
Symmetry-distinct sites (fractional):
1 Be 0.0000 0.0000 0.0000  8 Te 3.57, 4 Re 3.74
2 Re 0.5000 0.5000 0.0000  2 Ir 2.40
3 Te 0.0000 0.5000 0.5000  2 Ir 2.64
4 Ir 0.5000 0.5000 0.5000  2 Re 2.40, 4 Te 2.64

Calculated values
For the formation energy (no corrections), the calculation gives 1.673 eV per atom. The value obtained for the density of states at the Fermi level is 4.8 states/eV per cell. The total DFT energy (no corrections) is -4.5908 eV/atom.